[1]
Here is crystalline KHg2Pt at its relaxed geometry from Alexandria. Energies are from PBE.

Energy relative to the lowest polymorph listed for this composition in eV per formula unit: 0.842
Energy of formation from the pure elements in eV per atom: 0.039
Crystal system: tetragonal
Electronic total energy in eV/atom: -1.90

Unit cell a=3.253 b=3.253 c=9.022 alpha=90.00 beta=90.00 gamma=90.00
Space group P4/mmm (No. 123)
Asymmetric unit:
K (0.000, 0.000, 0.000) (multiplicity 1)
Hg (0.500, 0.500, 0.293) (multiplicity 2)
Pt (0.000, 0.000, 0.500) (multiplicity 1)

---

[2]
Here is crystalline HoThCdRh at its relaxed geometry from Alexandria. Energies are from PBE.

Energy of formation from the pure elements in eV per atom: -0.398
Crystal system: cubic
Electronic total energy in eV/atom: -5.46

Unit cell a=7.286 b=7.286 c=7.286 alpha=90.00 beta=90.00 gamma=90.00
Space group F-43m (No. 216)
Asymmetric unit:
Ho (0.000, 0.000, 0.000) (multiplicity 4)
Th (0.000, 0.000, 0.500) (multiplicity 4)
Cd (0.250, 0.250, 0.250) (multiplicity 4)
Rh (0.250, 0.250, 0.750) (multiplicity 4)